Material: Os2O5
Method: DFT, PBE
State: optimized geometry

Geometry as POSCAR:
```
Os2O5
1.0
4.632 0.000 0.000
1.785 4.295 0.000
1.465 -0.014 4.575
Os O
2 5
Cartesian
0.000 0.000 0.000
3.618 1.804 4.538
2.092 1.497 3.483
4.068 3.103 3.219
3.571 1.322 1.062
4.527 0.325 3.575
6.064 3.009 1.349
```

## Properties
As for the crystal system: triclinic.

***

Material: OsO
Method: DFT, PBE
State: optimized geometry

Geometry as POSCAR:
```
OsO
1.0
3.226 0.000 0.000
-1.613 2.794 0.000
0.000 0.000 5.134
Os O
2 2
Cartesian
0.000 0.000 0.000
0.000 0.000 2.567
0.000 1.862 1.284
1.613 0.931 3.851
```

## Properties
As for the crystal system: hexagonal.

***

Material: Os5O
Method: DFT, PBE
State: optimized geometry

Geometry as POSCAR:
```
Os5O
1.0
4.943 0.000 0.000
-2.471 4.281 0.000
0.000 0.000 4.582
Os O
5 1
Cartesian
-1.236 2.140 0.000
0.000 2.854 2.291
2.471 0.000 0.000
1.236 2.140 0.000
2.471 1.427 2.291
0.000 0.000 2.291
```

## Properties
As for the crystal system: hexagonal.

***

| no. | final energy (Ha/atom) | density (g/cm³) |
| --- | --- | --- |
| 1 | -0.2677 | 8.402 |
| 2 | -0.2600 | 14.802 |
| 3 | -0.3239 | 16.566 |